Material: Rb2TeBr6
Method: DFT, PBE
State: optimized geometry Values from VASP.

Cell and atoms, written as Quantum ESPRESSO input:
```
&SYSTEM
  ibrav = 0, nat = 18, ntyp = 3
/
ATOMIC_SPECIES
Rb 85.47 Rb.upf
Te 127.60 Te.upf
Br 79.90 Br.upf
CELL_PARAMETERS angstrom
7.833 0.000 0.000
0.000 8.068 0.000
-7.747 0.000 11.084
ATOMIC_POSITIONS crystal
Rb 0.234 0.057 0.249
Rb 0.234 0.443 0.749
Rb 0.766 0.557 0.251
Rb 0.766 0.943 0.751
Te 0.500 0.000 0.000
Te 0.500 0.500 0.500
Br 0.188 0.199 0.968
Br 0.188 0.301 0.468
Br 0.274 0.723 0.974
Br 0.274 0.777 0.474
Br 0.315 0.003 0.756
Br 0.315 0.497 0.256
Br 0.685 0.503 0.744
Br 0.685 0.997 0.244
Br 0.726 0.223 0.526
Br 0.726 0.277 0.026
Br 0.812 0.699 0.532
Br 0.812 0.801 0.032
```

Output
SG = P2_1/c
Polymorph energy (0 for the lowest one) = 0.0 meV per atom
Formation energy from raw total energies = -9.354 eV per formula unit
Magnetization = 0.00 Bohr magnetons per cell
Mass density = 3.69 g/cm³
DOS(E_F) = 0.0 states/eV/cell